No. 1
OsRh2 | PBEsol | relaxed

extended XYZ file:
```
3
Lattice="-1.340 1.895 4.011 1.340 -1.895 4.011 1.340 1.895 -4.011" Properties=species:S:1:pos:R:3 pbc="T T T"
Os 0.000 0.000 0.000
Rh 0.000 0.000 2.696
Rh 0.000 0.000 5.326
```

SG: No. 71
E above lowest polymorph (meV per atom): 0



No. 2
Tc3PtCl | PBEsol | relaxed

extended XYZ file:
```
5
Lattice="4.236 0.000 0.000 0.000 4.236 0.000 0.000 0.000 4.236" Properties=species:S:1:pos:R:3 pbc="T T T"
Tc 0.000 0.000 2.118
Tc 0.000 2.118 0.000
Tc 2.118 0.000 0.000
Pt 2.118 2.118 2.118
Cl 0.000 0.000 0.000
```

Formation energy from raw total energies (eV/f.u.): 4.82
SG: No. 221



No. 3
CaCeO3 | PBEsol | relaxed

extended XYZ file:
```
20
Lattice="5.993 0.000 0.000 0.000 8.402 0.000 0.000 0.000 5.772" Properties=species:S:1:pos:R:3 pbc="T T T"
Ca 0.311 2.101 0.087
Ca 2.686 6.302 2.973
Ca 3.307 2.101 2.799
Ca 5.682 6.302 5.685
Ce 0.000 0.000 2.886
Ce 0.000 4.201 2.886
Ce 2.996 0.000 0.000
Ce 2.996 4.201 0.000
O 0.428 6.302 2.114
O 1.154 4.813 4.669
O 1.154 7.791 4.669
O 1.843 0.612 1.783
O 1.843 3.589 1.783
O 2.569 2.101 5.000
O 3.424 6.302 0.772
O 4.150 4.813 3.989
O 4.150 7.791 3.989
O 4.839 0.612 1.103
O 4.839 3.589 1.103
O 5.565 2.101 3.658
```

Formation energy from raw total energies (eV/f.u.): -16.01
SG: No. 62



No. 4
Ag2OsBr | PBEsol | relaxed

extended XYZ file:
```
4
Lattice="2.670 0.000 0.000 0.000 3.036 0.000 0.000 0.000 8.956" Properties=species:S:1:pos:R:3 pbc="T T T"
Ag 0.000 0.000 1.960
Ag 0.000 0.000 6.997
Os 1.335 1.518 0.000
Br 0.000 1.518 4.478
```

Formation energy from raw total energies (eV/f.u.): 2.82
SG: No. 47
E above lowest polymorph (meV per atom): 0



No. 5
MgTiReGe2 | PBEsol | relaxed

extended XYZ file:
```
5
Lattice="4.606 0.000 0.000 0.000 4.606 0.000 0.000 0.000 4.716" Properties=species:S:1:pos:R:3 pbc="T T T"
Mg 0.000 0.000 0.000
Ti 0.000 0.000 2.358
Re 2.303 2.303 2.358
Ge 0.000 2.303 0.000
Ge 2.303 0.000 0.000
```

Raw total energy (eV per atom): -4.881
SG: No. 123



No. 6
SrCaTcPd2 | PBEsol | relaxed

extended XYZ file:
```
5
Lattice="5.095 0.000 0.000 0.000 5.095 0.000 0.000 0.000 4.939" Properties=species:S:1:pos:R:3 pbc="T T T"
Sr 0.000 0.000 0.000
Ca 2.548 2.548 2.470
Tc 0.000 0.000 2.470
Pd 0.000 2.548 0.000
Pd 2.548 0.000 0.000
```

Raw total energy (eV per atom): -4.199
SG: No. 123



No. 7
SrRuAu4 | PBEsol | relaxed

extended XYZ file:
```
6
Lattice="0.000 3.869 3.869 3.869 0.000 3.869 3.869 3.869 0.000" Properties=species:S:1:pos:R:3 pbc="T T T"
Sr 0.000 0.000 0.000
Ru 5.803 5.803 5.803
Au 2.906 2.906 2.906
Au 4.832 4.832 2.906
Au 4.832 2.906 4.832
Au 2.906 4.832 4.832
```

Raw total energy (eV per atom): -4.497
SG: No. 216



No. 8
TlReMo2 | PBEsol | relaxed

extended XYZ file:
```
4
Lattice="2.924 0.000 0.000 0.000 4.029 0.000 -0.050 0.000 5.749" Properties=species:S:1:pos:R:3 pbc="T T T"
Tl 0.000 0.000 0.000
Re 1.463 2.015 4.034
Mo 1.504 2.015 1.644
Mo 2.792 0.000 2.897
```

SG: No. 6
E above lowest polymorph (meV per atom): 69



No. 9
TcPb2Br | PBEsol | relaxed

extended XYZ file:
```
4
Lattice="3.369 0.000 0.000 0.000 3.408 0.000 -0.038 0.000 8.210" Properties=species:S:1:pos:R:3 pbc="T T T"
Tc 0.000 0.000 0.000
Pb 1.645 1.704 6.605
Pb 1.686 1.704 1.605
Br 1.666 0.000 4.105
```

Formation energy from raw total energies (eV/f.u.): 1.17
SG: No. 10
E above lowest polymorph (meV per atom): 0



No. 10
LiFeIr2 | PBEsol | relaxed

extended XYZ file:
```
4
Lattice="4.090 0.000 0.000 0.000 4.090 0.000 0.000 0.000 2.912" Properties=species:S:1:pos:R:3 pbc="T T T"
Li 0.000 0.000 0.000
Fe 2.045 2.045 0.000
Ir 0.000 2.045 1.456
Ir 2.045 0.000 1.456
```

Raw total energy (eV per atom): -7.641
SG: No. 123



No. 11
Cd5Ag3 | PBEsol | relaxed

extended XYZ file:
```
16
Lattice="-5.328 5.328 2.670 5.328 -5.328 2.670 5.328 5.328 -2.670" Properties=species:S:1:pos:R:3 pbc="T T T"
Cd 8.230 0.794 0.000
Cd 0.794 2.427 0.000
Cd 5.328 0.000 1.335
Cd 6.122 2.902 0.000
Cd 2.902 4.534 0.000
Cd 2.427 0.794 2.670
Cd -0.794 2.427 2.670
Cd 0.000 5.328 1.335
Cd 4.534 2.902 2.670
Cd -2.902 4.534 2.670
Ag 3.503 1.825 0.000
Ag 0.000 0.000 1.335
Ag 3.503 -1.825 2.670
Ag 1.825 7.153 0.000
Ag 0.000 0.000 4.005
Ag 1.825 3.503 2.670
```

SG: No. 140
E above lowest polymorph (meV per atom): 18



No. 12
CdCoRu | PBEsol | relaxed

extended XYZ file:
```
3
Lattice="4.206 0.000 0.000 -2.103 3.642 0.000 0.000 0.000 2.840" Properties=species:S:1:pos:R:3 pbc="T T T"
Cd 0.000 0.000 0.000
Co 0.000 2.428 1.604
Ru 2.103 1.214 1.341
```

Raw total energy (eV per atom): -5.897
SG: No. 156



What is the formula in the eleventh record?
Cd5Ag3